# ZnFeS2

An optimized crystal structure of ZnFeS2 (PBE, the Alexandria database).

## Properties
**Energy relative to the elements, uncorrected**: -0.454 eV per atom
**Total DFT energy (no corrections)**: -4.952 eV/atom
**Fermi-level density of states**: 6.455 states/eV/f.u.

a b c (Å): 5.4301 5.4301 10.7576
angles (deg): 90.00 90.00 90.00
With the nearest neighbours (Å) after each atom.
Space group I-42d (No. 122)
Symmetry-distinct sites (fractional):
Zn1 0.0000 0.0000 0.0000 x4  4 S 2.36
Fe1 0.0000 0.0000 0.5000 x4  4 S 2.33
S1 0.2455 0.2500 0.6250 x8  2 Fe 2.33, 2 Zn 2.36